(1)
The following is a DFT calculation (PBEsol) of a relaxed structure of LaAlIrBr2.

Structure (POSCAR):
```
LaAlIrBr2
1.0
5.778 0.000 0.000
0.000 5.778 0.000
0.000 0.000 5.138
La Al Ir Br
1 1 1 2
Direct
0.000 0.000 0.000
0.500 0.500 0.500
0.000 0.000 0.500
0.000 0.500 0.000
0.500 0.000 0.000
```

- Energy relative to the elements, uncorrected: 0.6 eV per formula unit
- Magnetization: 0.12 μB per atom

---

(2)
The following is a DFT calculation (PBEsol) of a relaxed structure of Ca3SbRh.

Structure (POSCAR):
```
Ca3SbRh
1.0
5.667 0.000 0.000
0.000 5.667 0.000
0.000 0.000 5.667
Ca Sb Rh
3 1 1
Direct
0.000 0.000 0.500
0.000 0.500 0.000
0.500 0.000 0.000
0.000 0.000 0.000
0.500 0.500 0.500
```

- Energy relative to the elements, uncorrected: 1.5 eV per formula unit
- Magnetization: 0.04 μB per atom

---

(3)
The following is a DFT calculation (PBEsol) of a relaxed structure of Be2PI.

Structure (POSCAR):
```
Be2PI
1.0
5.367 0.000 0.000
0.000 5.367 0.000
0.000 0.000 10.635
Be P I
8 4 4
Direct
0.175 0.250 0.125
0.250 0.675 0.375
0.250 0.825 0.875
0.325 0.250 0.625
0.675 0.750 0.625
0.750 0.175 0.875
0.750 0.325 0.375
0.825 0.750 0.125
0.000 0.000 0.000
0.000 0.500 0.250
0.500 0.000 0.750
0.500 0.500 0.500
0.000 0.000 0.500
0.000 0.500 0.750
0.500 0.000 0.250
0.500 0.500 0.000
```

- Energy relative to the elements, uncorrected: -1.0 eV per formula unit
- Magnetization: 0.00 μB per atom

---

(4)
The following is a DFT calculation (PBEsol) of a relaxed structure of OsRu.

Structure (POSCAR):
```
OsRu
1.0
4.230 0.000 0.000
-2.115 3.664 0.000
0.000 0.000 11.590
Os Ru
6 6
Direct
0.000 0.000 0.167
0.000 0.000 0.833
0.333 0.667 0.499
0.333 0.667 0.834
0.667 0.333 0.166
0.667 0.333 0.501
0.000 0.000 0.390
0.000 0.000 0.610
0.333 0.667 0.057
0.333 0.667 0.276
0.667 0.333 0.724
0.667 0.333 0.943
```

- E_form: 597.7 meV/atom
- Magnetization: 0.00 μB per atom

---

(5)
The following is a DFT calculation (PBEsol) of a relaxed structure of HgSe2BrF.

Structure (POSCAR):
```
HgSe2BrF
1.0
5.267 0.000 0.000
0.000 5.267 0.000
0.000 0.000 5.301
Hg Se Br F
1 2 1 1
Direct
0.000 0.000 0.000
0.000 0.500 0.000
0.500 0.000 0.000
0.000 0.000 0.500
0.500 0.500 0.500
```

- Energy relative to the elements, uncorrected: 2.8 eV per formula unit
- Magnetization: 0.65 μB per atom

---

(6)
The following is a DFT calculation (PBEsol) of a relaxed structure of LaTl2P.

Structure (POSCAR):
```
LaTl2P
1.0
4.310 0.000 0.000
0.000 4.903 0.000
0.000 0.000 9.519
La Tl P
2 4 2
Direct
0.000 0.000 0.000
0.500 0.500 0.500
0.000 0.000 0.441
0.000 0.500 0.226
0.500 0.000 0.726
0.500 0.500 0.941
0.000 0.500 0.734
0.500 0.000 0.234
```

- E_form: -398.7 meV/atom
- Magnetization: 0.00 μB per atom
- Energy above the most stable polymorph in this dataset: 0.130 eV per atom

---

(7)
The following is a DFT calculation (PBEsol) of a relaxed structure of BeTe2IN.

Structure (POSCAR):
```
BeTe2IN
1.0
4.655 0.000 0.000
0.000 4.655 0.000
0.000 0.000 4.878
Be Te I N
1 2 1 1
Direct
0.000 0.000 0.000
0.000 0.500 0.500
0.500 0.000 0.500
0.500 0.500 0.000
0.500 0.500 0.500
```

- Energy relative to the elements, uncorrected: 5.2 eV per formula unit
- Magnetization: 0.00 μB per atom
- Energy above the most stable polymorph in this dataset: 0.000 eV per atom

---

(8)
The following is a DFT calculation (PBEsol) of a relaxed structure of Zr2InFe.

Structure (POSCAR):
```
Zr2InFe
1.0
3.065 0.000 0.000
0.000 3.046 0.000
-0.343 0.000 7.865
Zr In Fe
2 1 1
Direct
0.032 0.000 0.296
0.968 0.000 0.704
0.500 0.500 0.000
0.500 0.500 0.500
```

- E_form: -250.9 meV/atom
- Magnetization: 0.00 μB per atom